*P*
DFT (PBE) results for a relaxed structure of LiHfTc.

The value obtained for the density of states at the Fermi level is 6.55 states/eV/cell. Its mass density is 9.7 g cm⁻³. The size of the total moment comes out at 0.0 μB/cell. Its volume is 195 Å³/cell.

It has space group C2/c (No. 15), with a = 6.924 Å, b = 8.190 Å, c = 4.577 Å, α = 90.00°, β = 131.27° and γ = 90.00°. The asymmetric unit holds Li at (0.000, 0.000, 0.000), Hf at (0.000, 0.370, 0.250) and Tc at (0.250, 0.250, 0.000).

***

*Q*
DFT (PBE) results for a relaxed structure of LiHfTc.

The value obtained for the density of states at the Fermi level is 7.53 states/eV/cell. Its mass density is 9.3 g cm⁻³. The size of the total moment comes out at 0.0 μB/cell. Its volume is 201 Å³/cell.

It has space group C2/m (No. 12), with a = 9.502 Å, b = 4.734 Å, c = 5.200 Å, α = 90.00°, β = 120.58° and γ = 90.00°. The asymmetric unit holds Li at (0.019, 0.000, 0.271), Hf at (0.184, 0.500, 0.769) and Tc at (0.148, 0.500, 0.229).

***

Sorted by energy, starting with the most stable: *P*, *Q*.

***

*P*
DFT (PBE) results for a relaxed structure of LiHf2Tc.

The value obtained for the density of states at the Fermi level is 15.21 states/eV/cell. Its mass density is 10.3 g cm⁻³. The size of the total moment comes out at 0.0 μB/cell. Its volume is 298 Å³/cell.

It has space group I-42d (No. 122), with a = 7.198 Å, b = 7.198 Å, c = 5.744 Å, α = 90.00°, β = 90.00° and γ = 90.00°. The asymmetric unit holds Li at (0.000, 0.000, 0.000), Hf at (0.244, 0.250, 0.625) and Tc at (0.000, 0.000, 0.500).

***

*Q*
DFT (PBE) results for a relaxed structure of LiHf2Tc.

The value obtained for the density of states at the Fermi level is 3.92 states/eV/cell. Its mass density is 10.9 g cm⁻³. The size of the total moment comes out at 0.0 μB/cell. Its volume is 70 Å³/cell.

It has space group P4/mmm (No. 123), with a = 4.588 Å, b = 4.588 Å, c = 3.331 Å, α = 90.00°, β = 90.00° and γ = 90.00°. The asymmetric unit holds Li at (0.000, 0.000, 0.000), Hf at (0.000, 0.500, 0.500) and Tc at (0.500, 0.500, 0.000).

***

*R*
DFT (PBE) results for a relaxed structure of LiHf2Tc.

The value obtained for the density of states at the Fermi level is 16.19 states/eV/cell. Its mass density is 10.9 g cm⁻³. The size of the total moment comes out at 0.0 μB/cell. Its volume is 282 Å³/cell.

It has space group Fm-3m (No. 225), with a = 6.557 Å, b = 6.557 Å, c = 6.557 Å, α = 90.00°, β = 90.00° and γ = 90.00°. The asymmetric unit holds Li at (0.000, 0.000, 0.000), Hf at (0.250, 0.250, 0.250) and Tc at (0.000, 0.000, 0.500).

***

Sorted by energy, starting with the most stable: *R*, *Q*, *P*.

***

*P*
DFT (PBE) results for a relaxed structure of Li2HfTc.

The value obtained for the density of states at the Fermi level is 13.48 states/eV/cell. Its mass density is 8.2 g cm⁻³. The size of the total moment comes out at 0.0 μB/cell. Its volume is 235 Å³/cell.

It has space group Fm-3m (No. 225), with a = 6.171 Å, b = 6.171 Å, c = 6.171 Å, α = 90.00°, β = 90.00° and γ = 90.00°. The asymmetric unit holds Li at (0.250, 0.250, 0.250), Hf at (0.000, 0.000, 0.000) and Tc at (0.000, 0.000, 0.500).

***

*Q*
DFT (PBE) results for a relaxed structure of Li2HfTc.

The value obtained for the density of states at the Fermi level is 13.49 states/eV/cell. Its mass density is 6.7 g cm⁻³. The size of the total moment comes out at 0.0 μB/cell. Its volume is 286 Å³/cell.

It has space group I-42d (No. 122), with a = 3.681 Å, b = 3.681 Å, c = 21.134 Å, α = 90.00°, β = 90.00° and γ = 90.00°. The asymmetric unit holds Li at (0.223, 0.250, 0.125), Hf at (0.000, 0.000, 0.500) and Tc at (0.000, 0.000, 0.000).

***

Sorted by energy, starting with the most stable: *Q*, *P*.

***

*P*
DFT (PBE) results for a relaxed structure of LiHf3Tc.

The value obtained for the density of states at the Fermi level is 10.04 states/eV/cell. Its mass density is 8.3 g cm⁻³. The size of the total moment comes out at 0.0 μB/cell. Its volume is 127 Å³/cell.

It has space group Pm-3m (No. 221), with a = 5.033 Å, b = 5.033 Å, c = 5.033 Å, α = 90.00°, β = 90.00° and γ = 90.00°. The asymmetric unit holds Li at (0.000, 0.000, 0.000), Hf at (0.000, 0.500, 0.500) and Tc at (0.500, 0.500, 0.500).

***

*Q*
DFT (PBE) results for a relaxed structure of LiHf3Tc.

The value obtained for the density of states at the Fermi level is 6.54 states/eV/cell. Its mass density is 11.3 g cm⁻³. The size of the total moment comes out at 0.0 μB/cell. Its volume is 94 Å³/cell.

It has space group Pm-3m (No. 221), with a = 4.551 Å, b = 4.551 Å, c = 4.551 Å, α = 90.00°, β = 90.00° and γ = 90.00°. The asymmetric unit holds Li at (0.000, 0.000, 0.000), Hf at (0.000, 0.000, 0.500) and Tc at (0.500, 0.500, 0.500).

***

Sorted by energy, starting with the most stable: *P*, *Q*.

***

*P*
DFT (PBE) results for a relaxed structure of LiHf2Te4.

The value obtained for the density of states at the Fermi level is 11.43 states/eV/cell. Its mass density is 7.4 g cm⁻³. The size of the total moment comes out at 0.0 μB/cell. Its volume is 781 Å³/cell.

It has space group Cmcm (No. 63), with a = 4.049 Å, b = 13.370 Å, c = 14.423 Å, α = 90.00°, β = 90.00° and γ = 90.00°. The asymmetric unit holds Li at (0.000, 0.100, 0.250), Hf at (0.000, 0.363, 0.067), Te at (0.000, 0.000, 0.000), Te at (0.000, 0.280, 0.621) and Te at (0.000, 0.449, 0.250).

***

*Q*
DFT (PBE) results for a relaxed structure of LiHf2Te4.

The value obtained for the density of states at the Fermi level is 7.47 states/eV/cell. Its mass density is 7.3 g cm⁻³. The size of the total moment comes out at 0.0 μB/cell. Its volume is 601 Å³/cell.

It has space group R-3m (No. 166, hexagonal axes), with a = 3.9967 Å, b = 3.9967 Å, c = 43.4119 Å, α = 90.00°, β = 90.00° and γ = 120.00°. The asymmetric unit holds Li at (0.0000, 0.0000, 0.0000), Hf at (0.0000, 0.0000, 0.2492), Te at (0.0000, 0.0000, 0.1238) and Te at (0.0000, 0.0000, 0.3755).

***

Sorted by energy, starting with the most stable: *Q*, *P*.

***

*P*
DFT (PBE) results for a relaxed structure of LiHfTh.

The value obtained for the density of states at the Fermi level is 4.86 states/eV/cell. Its mass density is 9.4 g cm⁻³. The size of the total moment comes out at 0.0 μB/cell. Its volume is 148 Å³/cell.

It has space group I4mm (No. 107), with a = 3.292 Å, b = 3.292 Å, c = 13.659 Å, α = 90.00°, β = 90.00° and γ = 90.00°. The asymmetric unit holds Li at (0.000, 0.000, 0.000), Hf at (0.000, 0.000, 0.351) and Th at (0.000, 0.000, 0.681).

***

*Q*
DFT (PBE) results for a relaxed structure of LiHfTh.

The value obtained for the density of states at the Fermi level is 6.50 states/eV/cell. Its mass density is 9.7 g cm⁻³. The size of the total moment comes out at 0.0 μB/cell. Its volume is 142 Å³/cell.

It has space group P2_1/m (No. 11), with a = 5.351 Å, b = 3.348 Å, c = 8.388 Å, α = 90.00°, β = 108.56° and γ = 90.00°. The asymmetric unit holds Li at (0.064, 0.250, 0.128), Hf at (0.230, 0.750, 0.460) and Th at (0.406, 0.250, 0.812).

***

Sorted by energy, starting with the most stable: *Q*, *P*.

***

*P*
DFT (PBE) results for a relaxed structure of LiHfTh2.

The value obtained for the density of states at the Fermi level is 6.06 states/eV/cell. Its mass density is 10.0 g cm⁻³. The size of the total moment comes out at 0.0 μB/cell. Its volume is 107 Å³/cell.

It has space group P4/mmm (No. 123), with a = 5.533 Å, b = 5.533 Å, c = 3.506 Å, α = 90.00°, β = 90.00° and γ = 90.00°. The asymmetric unit holds Li at (0.000, 0.000, 0.000), Hf at (0.500, 0.500, 0.000) and Th at (0.000, 0.500, 0.500).

***

*Q*
DFT (PBE) results for a relaxed structure of LiHfTh2.

The value obtained for the density of states at the Fermi level is 5.21 states/eV/cell. Its mass density is 9.8 g cm⁻³. The size of the total moment comes out at 0.0 μB/cell. Its volume is 110 Å³/cell.

It has space group P4/mmm (No. 123), with a = 3.388 Å, b = 3.388 Å, c = 9.554 Å, α = 90.00°, β = 90.00° and γ = 90.00°. The asymmetric unit holds Li at (0.000, 0.000, 0.000), Hf at (0.000, 0.000, 0.500) and Th at (0.500, 0.500, 0.255).

***

Sorted by energy, starting with the most stable: *Q*, *P*.

***

*P*
DFT (PBE) results for a relaxed structure of LiHfTi.

The value obtained for the density of states at the Fermi level is 3.55 states/eV/cell. Its mass density is 6.4 g cm⁻³. The size of the total moment comes out at 0.0 μB/cell. Its volume is 121 Å³/cell.

It has space group P4/nmm (No. 129, origin choice 2), with a = 2.984 Å, b = 2.984 Å, c = 13.545 Å, α = 90.00°, β = 90.00° and γ = 90.00°. The asymmetric unit holds Li at (0.250, 0.250, 0.078), Hf at (0.250, 0.250, 0.394) and Ti at (0.250, 0.250, 0.753).

***

*Q*
DFT (PBE) results for a relaxed structure of LiHfTi.

The value obtained for the density of states at the Fermi level is 6.08 states/eV/cell. Its mass density is 6.5 g cm⁻³. The size of the total moment comes out at 0.0 μB/cell. Its volume is 120 Å³/cell.

It has space group P-1 (No. 2), with a = 3.083 Å, b = 5.092 Å, c = 7.674 Å, α = 84.92°, β = 89.95° and γ = 89.76°. The asymmetric unit holds Li at (0.249, 0.262, 0.484), Hf at (0.251, 0.904, 0.161) and Ti at (0.250, 0.593, 0.858).

***

Sorted by energy, starting with the most stable: *P*, *Q*.

***

*P*
DFT (PBE) results for a relaxed structure of LiHfTl.

The value obtained for the density of states at the Fermi level is 1.14 states/eV/cell. Its mass density is 10.2 g cm⁻³. The size of the total moment comes out at 0.0 μB/cell. Its volume is 127 Å³/cell.

It has space group P6_3/mmc (No. 194), with a = 4.9721 Å, b = 4.9721 Å, c = 5.9347 Å, α = 90.00°, β = 90.00° and γ = 120.00°. The asymmetric unit holds Li at (0.0000, 0.0000, 0.0000), Hf at (0.3333, 0.6667, 0.2500) and Tl at (0.3333, 0.6667, 0.7500).

***

*Q*
DFT (PBE) results for a relaxed structure of LiHfTl.

The value obtained for the density of states at the Fermi level is 6.83 states/eV/cell. Its mass density is 10.0 g cm⁻³. The size of the total moment comes out at 0.0 μB/cell. Its volume is 258 Å³/cell.

It has space group Amm2 (No. 38), with a = 5.135 Å, b = 3.251 Å, c = 15.453 Å, α = 90.00°, β = 90.00° and γ = 90.00°. The asymmetric unit holds Li at (0.000, 0.000, 0.000), Li at (0.000, 0.000, 0.335), Hf at (0.500, 0.000, 0.196), Hf at (0.500, 0.000, 0.534), Tl at (0.000, 0.000, 0.654) and Tl at (0.500, 0.000, 0.868).

***

*R*
DFT (PBE) results for a relaxed structure of LiHfTl.

The value obtained for the density of states at the Fermi level is 7.36 states/eV/cell. Its mass density is 9.8 g cm⁻³. The size of the total moment comes out at 0.0 μB/cell. Its volume is 263 Å³/cell.

It has space group Cmm2 (No. 35), with a = 3.243 Å, b = 15.424 Å, c = 5.262 Å, α = 90.00°, β = 90.00° and γ = 90.00°. The asymmetric unit holds Li at (0.000, 0.000, 0.000), Li at (0.000, 0.500, 0.486), Hf at (0.000, 0.171, 0.360) and Tl at (0.000, 0.347, 0.858).

***

*S*
DFT (PBE) results for a relaxed structure of LiHfTl.

The value obtained for the density of states at the Fermi level is 4.53 states/eV/cell. Its mass density is 10.2 g cm⁻³. The size of the total moment comes out at 0.0 μB/cell. Its volume is 127 Å³/cell.

It has space group P2_1/m (No. 11), with a = 3.233 Å, b = 4.191 Å, c = 9.389 Å, α = 90.00°, β = 93.75° and γ = 90.00°. The asymmetric unit holds Li at (0.230, 0.250, 0.080), Hf at (0.235, 0.250, 0.417) and Tl at (0.283, 0.250, 0.769).

***

Sorted by energy, starting with the most stable: *S*, *Q*, *R*, *P*.

***

*P*
DFT (PBE) results for a relaxed structure of LiHfTl.

The value obtained for the density of states at the Fermi level is 7.21 states/eV/cell. Its mass density is 10.1 g cm⁻³. The size of the total moment comes out at 0.0 μB/cell. Its volume is 255 Å³/cell.

It has space group Cmcm (No. 63), with a = 3.190 Å, b = 17.495 Å, c = 4.572 Å, α = 90.00°, β = 90.00° and γ = 90.00°. The asymmetric unit holds Li at (0.000, 0.000, 0.000), Hf at (0.000, 0.205, 0.250) and Tl at (0.000, 0.381, 0.250).

***

*Q*
DFT (PBE) results for a relaxed structure of LiHfTl.

The value obtained for the density of states at the Fermi level is 4.13 states/eV/cell. Its mass density is 10.1 g cm⁻³. The size of the total moment comes out at 0.0 μB/cell. Its volume is 129 Å³/cell.

It has space group P4mm (No. 99), with a = 3.230 Å, b = 3.230 Å, c = 12.331 Å, α = 90.00°, β = 90.00° and γ = 90.00°. The asymmetric unit holds Li at (0.000, 0.000, 0.000), Li at (0.000, 0.000, 0.302), Hf at (0.000, 0.000, 0.659), Hf at (0.500, 0.500, 0.822), Tl at (0.500, 0.500, 0.140) and Tl at (0.500, 0.500, 0.461).

***

Sorted by energy, starting with the most stable: *Q*, *P*.

***

*P*
DFT (PBE) results for a relaxed structure of LiHfTl.

The value obtained for the density of states at the Fermi level is 4.68 states/eV/cell. Its mass density is 9.8 g cm⁻³. The size of the total moment comes out at 0.0 μB/cell. Its volume is 132 Å³/cell.

It has space group Pm (No. 6), with a = 3.056 Å, b = 4.977 Å, c = 8.785 Å, α = 90.00°, β = 99.67° and γ = 90.00°. The asymmetric unit holds Li at (0.000, 0.000, 0.000), Li at (0.231, 0.500, 0.497), Hf at (0.359, 0.000, 0.656), Hf at (0.704, 0.000, 0.353), Tl at (0.147, 0.500, 0.186) and Tl at (0.920, 0.500, 0.797).

***

*Q*
DFT (PBE) results for a relaxed structure of LiHfTl.

The value obtained for the density of states at the Fermi level is 1.08 states/eV/cell. Its mass density is 9.4 g cm⁻³. The size of the total moment comes out at 0.0 μB/cell. Its volume is 69 Å³/cell.

It has space group P-6m2 (No. 187), with a = 5.0531 Å, b = 5.0531 Å, c = 3.1043 Å, α = 90.00°, β = 90.00° and γ = 120.00°. The asymmetric unit holds Li at (0.0000, 0.0000, 0.0000), Hf at (0.6667, 0.3333, 0.5000) and Tl at (0.3333, 0.6667, 0.5000).

***

*R*
DFT (PBE) results for a relaxed structure of LiHfTl.

The value obtained for the density of states at the Fermi level is 4.29 states/eV/cell. Its mass density is 10.6 g cm⁻³. The size of the total moment comes out at 0.0 μB/cell. Its volume is 122 Å³/cell.

It has space group I4mm (No. 107), with a = 3.184 Å, b = 3.184 Å, c = 12.002 Å, α = 90.00°, β = 90.00° and γ = 90.00°. The asymmetric unit holds Li at (0.000, 0.000, 0.000), Hf at (0.000, 0.000, 0.327) and Tl at (0.000, 0.000, 0.639).

***

Sorted by energy, starting with the most stable: *P*, *R*, *Q*.